VASP calculation (meta-GGA SCAN) on a PBEsol-optimized structure of Zr3Si.

Calculated values
- Mass density: 6.294 g cm⁻³
- Spin magnetization: 0.0 Bohr magnetons per cell
- Formation energy without anion corrections: -587.2 meV/atom

Lattice parameters (Å, degrees): 5.371 10.890 10.890 90.00 90.00 90.00
Element x y z (fractional)
Zr 0.533 0.918 0.607
Zr 0.533 0.082 0.393
Zr 0.033 0.893 0.418
Zr 0.033 0.107 0.582
Zr 0.967 0.582 0.893
Zr 0.967 0.418 0.107
Zr 0.467 0.607 0.082
Zr 0.467 0.393 0.918
Zr 0.722 0.862 0.974
Zr 0.722 0.138 0.026
Zr 0.222 0.526 0.362
Zr 0.222 0.474 0.638
Zr 0.778 0.638 0.526
Zr 0.778 0.362 0.474
Zr 0.278 0.974 0.138
Zr 0.278 0.026 0.862
Zr 0.008 0.820 0.716
Zr 0.008 0.180 0.284
Zr 0.508 0.784 0.320
Zr 0.508 0.216 0.680
Zr 0.492 0.680 0.784
Zr 0.492 0.320 0.216
Zr 0.992 0.716 0.180
Zr 0.992 0.284 0.820
Si 0.213 0.794 0.959
Si 0.213 0.206 0.041
Si 0.713 0.541 0.294
Si 0.713 0.459 0.706
Si 0.287 0.706 0.541
Si 0.287 0.294 0.459
Si 0.787 0.959 0.206
Si 0.787 0.041 0.794


VASP calculation (meta-GGA SCAN) on a PBEsol-optimized structure of Nb2NiI.

Calculated values
- Mass density: 9.187 g cm⁻³
- Spin magnetization: 0.0 Bohr magnetons per cell
- Formation energy without anion corrections: 551.5 meV/atom

Lattice parameters (Å, degrees): 4.562 4.562 4.562 60.00 60.00 60.00
Element x y z (fractional)
I 0.500 0.500 0.500
Ni 0.000 0.000 0.000
Nb 0.250 0.250 0.250
Nb 0.750 0.750 0.750


VASP calculation (meta-GGA SCAN) on a PBEsol-optimized structure of PSBr3.

Calculated values
- Mass density: 4.010 g cm⁻³
- Spin magnetization: 2.1 Bohr magnetons per cell
- Formation energy without anion corrections: 509.3 meV/atom

Lattice parameters (Å, degrees): 5.005 5.005 5.005 90.00 90.00 90.00
Site moments in Bohr magnetons follow the coordinates.
Element x y z (fractional)
P 0.000 0.000 0.000  -0.09
S 0.500 0.500 0.500  1.21
Br 0.000 0.500 0.000  0.10
Br 0.000 0.000 0.500  0.10
Br 0.500 0.000 0.000  0.10


VASP calculation (meta-GGA SCAN) on a PBEsol-optimized structure of CdPt2W.

Calculated values
- Mass density: 18.022 g cm⁻³
- Spin magnetization: 0.0 Bohr magnetons per cell
- ΔH_f (0 K): 41 kJ/mol of formula units

Lattice parameters (Å, degrees): 3.988 3.988 4.875 114.15 114.15 90.00
Element x y z (fractional)
W 0.500 0.500 0.000
Pt 0.000 0.000 0.000
Pt 0.750 0.250 0.500
Cd 0.250 0.750 0.500


Please write out number 3 again, unchanged.
VASP calculation (meta-GGA SCAN) on a PBEsol-optimized structure of PSBr3.

Calculated values
- Mass density: 4.010 g cm⁻³
- Spin magnetization: 2.1 Bohr magnetons per cell
- Formation energy without anion corrections: 509.3 meV/atom

Lattice parameters (Å, degrees): 5.005 5.005 5.005 90.00 90.00 90.00
Site moments in Bohr magnetons follow the coordinates.
Element x y z (fractional)
P 0.000 0.000 0.000  -0.09
S 0.500 0.500 0.500  1.21
Br 0.000 0.500 0.000  0.10
Br 0.000 0.000 0.500  0.10
Br 0.500 0.000 0.000  0.10


What is the formula in the third record? PSBr3